The following is a DFT calculation (PBE) of a relaxed structure of Y2HfSnN.

The structure in extended XYZ format:
```
5
Lattice="4.9123 0.0000 0.0000 0.0000 4.9123 0.0000 0.0000 0.0000 4.3458" Properties=species:S:1:pos:R:3 pbc="T T T"
Y 0.0000 2.4562 0.0000
Y 2.4562 0.0000 0.0000
Hf 0.0000 0.0000 2.1729
Sn 2.4562 2.4562 2.1729
N 0.0000 0.0000 0.0000
```

Properties
Formation energy from raw total energies in meV per atom: -957
Density in g/cm³: 7.74

The following is a DFT calculation (PBE) of a relaxed structure of SrHf2N.

The structure in extended XYZ format:
```
8
Lattice="0.0000 4.7724 4.7724 4.7724 0.0000 4.7724 4.7724 4.7724 0.0000" Properties=species:S:1:pos:R:3 pbc="T T T"
Sr 1.1931 1.1931 1.1931
Sr 8.3518 8.3518 8.3518
Hf 4.7724 2.3862 2.3862
Hf 2.3862 4.7724 2.3862
Hf 2.3862 2.3862 4.7724
Hf 4.7724 4.7724 4.7724
N 3.5793 3.5793 3.5793
N 5.9655 5.9655 5.9655
```

Properties
Formation energy from raw total energies in meV per atom: -384
Density in g/cm³: 7.01

The following is a DFT calculation (PBE) of a relaxed structure of SrHfN3.

The structure in extended XYZ format:
```
5
Lattice="4.2250 0.0000 0.0000 0.0000 4.2250 0.0000 0.0000 0.0000 4.2250" Properties=species:S:1:pos:R:3 pbc="T T T"
Sr 0.0000 0.0000 0.0000
Hf 2.1125 2.1125 2.1125
N 0.0000 2.1125 2.1125
N 2.1125 0.0000 2.1125
N 2.1125 2.1125 0.0000
```

Properties
Formation energy from raw total energies in meV per atom: -426
Density in g/cm³: 6.78

The following is a DFT calculation (PBE) of a relaxed structure of SrHf3N.

The structure in extended XYZ format:
```
5
Lattice="5.0793 0.0000 0.0000 0.0000 5.0793 0.0000 0.0000 0.0000 5.0793" Properties=species:S:1:pos:R:3 pbc="T T T"
Sr 0.0000 0.0000 0.0000
Hf 0.0000 0.0000 2.5397
Hf 0.0000 2.5397 0.0000
Hf 2.5397 0.0000 0.0000
N 2.5397 2.5397 2.5397
```

Properties
Formation energy from raw total energies in meV per atom: 3167
Density in g/cm³: 8.07

The following is a DFT calculation (PBE) of a relaxed structure of SrHf3N4.

The structure in extended XYZ format:
```
16
Lattice="3.2683 0.0000 0.0000 -1.6341 2.8304 0.0000 0.0000 0.0000 22.3639" Properties=species:S:1:pos:R:3 pbc="T T T"
Sr 0.0000 1.8869 5.5910
Sr 1.6341 0.9435 16.7729
Hf 0.0000 0.0000 0.0000
Hf 0.0000 0.0000 11.1820
Hf 0.0000 1.8869 13.8199
Hf 0.0000 1.8869 19.7259
Hf 1.6341 0.9435 2.6380
Hf 1.6341 0.9435 8.5440
N 0.0000 0.0000 3.7680
N 0.0000 0.0000 7.4140
N 0.0000 0.0000 14.9500
N 0.0000 0.0000 18.5959
N 0.0000 1.8869 1.2940
N 0.0000 1.8869 9.8879
N 1.6341 0.9435 12.4760
N 1.6341 0.9435 21.0699
```

Properties
Formation energy from raw total energies in meV per atom: -1586
Density in g/cm³: 10.90

The following is a DFT calculation (PBE) of a relaxed structure of SrHf5N7.

The structure in extended XYZ format:
```
26
Lattice="1.5995 -5.3582 0.0000 1.5995 5.3582 0.0000 0.0000 0.0000 19.6923" Properties=species:S:1:pos:R:3 pbc="T T T"
Sr 1.5995 3.0063 14.7692
Sr 1.5995 -3.0063 4.9231
Hf 0.0000 0.0000 0.0000
Hf 0.0000 0.0000 9.8461
Hf 1.5995 2.5612 1.4984
Hf 1.5995 2.5612 8.3477
Hf 1.5995 0.2845 12.8845
Hf 1.5995 0.2845 16.6539
Hf 1.5995 -0.2845 3.0384
Hf 1.5995 -0.2845 6.8077
Hf 1.5995 -2.5612 11.3446
Hf 1.5995 -2.5612 18.1939
N 1.5995 4.3394 11.8446
N 1.5995 4.3394 17.6938
N 1.5995 3.6392 3.2153
N 1.5995 3.6392 6.6309
N 1.5995 1.4566 10.4768
N 1.5995 1.4566 19.0616
N 1.5995 0.4125 4.9231
N 1.5995 -0.4125 14.7692
N 1.5995 -1.4566 0.6307
N 1.5995 -1.4566 9.2155
N 1.5995 -3.6392 13.0614
N 1.5995 -3.6392 16.4770
N 1.5995 -4.3394 1.9985
N 1.5995 -4.3394 7.8476
```

Properties
Formation energy from raw total energies in meV per atom: -1648
Density in g/cm³: 10.61

The following is a DFT calculation (PBE) of a relaxed structure of Sr5Hf2N6.

The structure in extended XYZ format:
```
26
Lattice="5.5722 -3.5734 0.0000 5.5722 3.5734 0.0000 -3.3450 0.0000 13.4163" Properties=species:S:1:pos:R:3 pbc="T T T"
Sr 3.0635 2.5120 10.0622
Sr 2.9134 1.0517 3.7185
Sr 1.9616 1.8227 13.2848
Sr 4.1653 1.8227 6.8396
Sr 1.2410 -1.0517 10.4267
Sr 6.5584 1.0517 2.9896
Sr 3.6340 -1.8227 6.5767
Sr 5.8378 -1.8227 0.1315
Sr 4.8860 -1.0517 9.6977
Sr 4.7359 -2.5120 3.3541
Hf 1.1589 0.6048 7.5968
Hf 2.8314 -0.6048 0.8886
Hf 4.9680 0.6048 12.5277
Hf 6.6405 -0.6048 5.8195
N 0.9359 0.9313 5.5373
N -0.5448 0.0159 8.6068
N 1.1277 -0.0159 1.8986
N -0.7366 -0.9313 12.2455
N 4.6108 0.1019 1.6125
N 2.9383 -0.1019 8.3206
N 4.8611 0.1019 5.0957
N 3.1886 -0.1019 11.8038
N 8.5359 0.9313 1.1708
N 6.6717 0.0159 11.5177
N 8.3442 -0.0159 4.8095
N 6.8635 -0.9313 7.8789
```

Properties
Formation energy from raw total energies in meV per atom: -1007
Density in g/cm³: 5.46

The following is a DFT calculation (PBE) of a relaxed structure of Sr3HfN3.

The structure in extended XYZ format:
```
28
Lattice="8.4953 -3.0966 0.0000 8.4953 3.0966 0.0000 0.0000 0.0000 10.3756" Properties=species:S:1:pos:R:3 pbc="T T T"
Sr 3.1575 0.7659 8.8916
Sr 8.4953 2.4572 8.6812
Sr 5.3378 0.7659 6.6718
Sr 3.1575 -0.7659 1.4840
Sr 8.4953 0.6394 3.4934
Sr 5.3378 -0.7659 3.7038
Sr 11.6528 0.7659 6.6718
Sr 8.4953 -0.6394 6.8822
Sr 13.8331 0.7659 8.8916
Sr 11.6528 -0.7659 3.7038
Sr 8.4953 -2.4572 1.6944
Sr 13.8331 -0.7659 1.4840
Hf 1.5554 0.0000 5.1878
Hf 6.9399 0.0000 0.0000
Hf 10.0507 0.0000 0.0000
Hf 15.4352 0.0000 5.1878
N 5.8648 1.7752 4.0136
N 5.8648 1.3214 9.2014
N 8.4953 1.9625 6.1838
N 8.4953 1.1341 0.9960
N 11.1258 1.7752 4.0136
N 11.1258 1.3214 9.2014
N 5.8648 -1.3214 1.1742
N 5.8648 -1.7752 6.3620
N 8.4953 -1.1341 9.3796
N 8.4953 -1.9625 4.1918
N 11.1258 -1.3214 1.1742
N 11.1258 -1.7752 6.3620
```

Properties
Formation energy from raw total energies in meV per atom: -790
Density in g/cm³: 5.88

The following is a DFT calculation (PBE) of a relaxed structure of Sr5Hf2N6.

The structure in extended XYZ format:
```
26
Lattice="3.6546 0.0000 0.0000 0.0000 11.6323 0.0000 -0.0153 0.0000 12.5245" Properties=species:S:1:pos:R:3 pbc="T T T"
Sr 0.0003 0.0000 0.2361
Sr 3.6431 0.0441 9.3784
Sr 3.6467 0.0526 6.0086
Sr 3.6390 5.8161 12.2884
Sr -0.0038 5.8602 3.1461
Sr -0.0074 5.8688 6.5159
Sr -0.0068 8.2593 9.1516
Sr 0.0009 9.2598 2.8838
Sr 3.6461 2.4432 3.3729
Sr 3.6384 3.4437 9.6407
Hf 1.8120 2.7830 12.3090
Hf 1.8196 3.0871 6.0495
Hf 1.8273 8.5991 0.2155
Hf 1.8196 8.9032 6.4751
N -0.0001 2.6830 0.8510
N -0.0077 3.1819 7.1187
N 3.6394 8.4991 11.6735
N 3.6470 8.9980 5.4058
N 1.8189 1.4334 4.8817
N 1.8112 4.4448 11.1530
N 1.8141 1.2574 10.9125
N 1.8217 4.6242 4.6656
N 1.8252 7.0735 1.6120
N 1.8175 10.4403 7.8589
N 1.8204 7.2496 7.6428
N 1.8281 10.2609 1.3715
```

Properties
Formation energy from raw total energies in meV per atom: -973
Density in g/cm³: 5.48

The following is a DFT calculation (PBE) of a relaxed structure of SrHfN3.

The structure in extended XYZ format:
```
5
Lattice="4.1648 0.0000 0.0000 0.0000 4.1648 0.0000 0.0000 0.0000 4.1648" Properties=species:S:1:pos:R:3 pbc="T T T"
Sr 0.0000 0.0000 0.0000
Hf 2.0824 2.0824 2.0824
N 0.0000 0.0000 2.0824
N 0.0000 2.0824 0.0000
N 2.0824 0.0000 0.0000
```

Properties
Formation energy from raw total energies in meV per atom: 1721
Density in g/cm³: 7.08

The following is a DFT calculation (PBE) of a relaxed structure of SrHf3N.

The structure in extended XYZ format:
```
5
Lattice="4.6643 0.0000 0.0000 0.0000 4.6643 0.0000 0.0000 0.0000 4.6643" Properties=species:S:1:pos:R:3 pbc="T T T"
Sr 0.0000 0.0000 0.0000
Hf 0.0000 2.3322 2.3322
Hf 2.3322 0.0000 2.3322
Hf 2.3322 2.3322 0.0000
N 2.3322 2.3322 2.3322
```

Properties
Formation energy from raw total energies in meV per atom: -123
Density in g/cm³: 10.43

The following is a DFT calculation (PBE) of a relaxed structure of SrHfThN3.

The structure in extended XYZ format:
```
12
Lattice="7.0495 0.0000 0.0000 0.0000 3.5277 0.0000 -0.3383 0.0000 9.8396" Properties=species:S:1:pos:R:3 pbc="T T T"
Sr 0.8547 0.8819 2.8986
Sr 5.8565 2.6457 6.9411
Hf 0.8571 0.8819 9.3281
Hf 5.8541 2.6457 0.5115
Th 2.4103 2.6457 6.2386
Th 4.3009 0.8819 3.6011
N 0.9194 2.6457 0.6054
N 1.1200 0.8819 7.3022
N 2.6443 2.6457 3.8973
N 4.0669 0.8819 5.9423
N 5.5912 2.6457 2.5374
N 5.7918 0.8819 9.2343
```

Properties
Formation energy from raw total energies in meV per atom: -1227
Density in g/cm³: 7.33